La7Sm3Dy2: optimized geometry, GGA-PBE.

```
La7Sm3Dy2
1.0
3.6409 0.0000 0.0000
0.0000 5.9930 -0.2719
0.0000 -3.8329 19.6278
Sm Dy La
3 2 7
Cartesian
0.0000 2.6635 12.2426
1.8205 2.9965 -0.1360
0.0000 -0.5033 7.1133
1.8205 2.4178 5.6902
1.8205 -0.2577 13.6657
0.0000 2.2920 2.7489
1.8205 -0.3919 10.3903
1.8205 -0.6396 3.6097
1.8205 2.7998 15.7462
0.0000 0.0000 0.0000
1.8205 2.5520 8.9656
0.0000 -0.1319 16.6069
```

Final energy ... -56.8 eV per formula unit
Energy relative to the elements ... 0.0877 eV per atom
Density ... 6.84 g/cm³
Calculated volume ... 424.5 Å³ per cell



La3Sm4Dy8: optimized geometry, GGA-PBE.

```
La3Sm4Dy8
1.0
-1.8629 5.4875 3.6024
-7.2216 -5.7752 -1.4012
3.6717 -6.6101 5.5039
Dy Sm La
8 4 3
Cartesian
-5.3547 -3.2459 2.1738
-3.4857 -6.4890 4.7143
-0.2392 -6.3103 3.0249
-4.4643 -3.6217 6.6049
-1.9272 -0.4087 2.9908
-0.0581 -3.6518 5.5313
-3.3107 -6.0749 1.0779
-0.9485 -3.2760 1.1002
-3.6108 -2.8876 -0.7006
0.0000 0.0000 0.0000
1.8358 -3.3050 2.7520
-0.9315 2.7438 1.8012
-2.7064 -3.4489 3.8526
0.9044 -0.5613 4.5532
-4.5423 -0.1438 1.1006
```

Final energy ... -65.0 eV per formula unit
Energy relative to the elements ... 0.3617 eV per atom
Density ... 7.48 g/cm³
Calculated volume ... 514.7 Å³ per cell



La2SmDy2: optimized geometry, GGA-PBE.

```
La2SmDy2
1.0
9.3706 0.0000 -5.0802
-2.7540 8.9563 -5.0798
-2.0236 -2.7390 7.4497
La Dy Sm
4 4 2
Cartesian
-0.6523 5.4591 -3.6527
7.2689 3.4972 -6.5073
3.2592 7.9753 -7.6200
3.3574 0.9809 -2.5401
0.9193 2.7819 -2.5400
5.9384 1.6962 -4.4643
5.6973 6.1744 -7.6200
0.6782 7.2600 -5.6957
0.6423 0.8696 1.1848
3.9506 5.3477 -3.8952
```

Final energy ... -21.5 eV per formula unit
Energy relative to the elements ... 0.4610 eV per atom
Density ... 6.86 g/cm³
Calculated volume ... 364.4 Å³ per cell



La3Sm8Dy2: optimized geometry, GGA-PBE.

```
La3Sm8Dy2
1.0
-13.0501 -2.8490 1.1182
5.6990 -0.6036 -2.7230
6.7625 -13.2738 18.8187
Sm La Dy
16 6 4
Cartesian
-7.6716 -5.0484 3.1225
-6.7418 -11.9885 13.0612
7.0831 -11.6779 14.0914
-0.9019 -7.3204 7.1411
0.3133 -9.4060 10.0728
1.3586 -6.4882 4.3280
-1.0295 -13.2906 15.4789
-1.9471 -10.2382 12.8859
4.3609 -12.8582 16.2298
-4.9494 -3.8682 0.9841
3.0424 -2.0177 -0.5481
-3.6310 -14.7087 17.7620
3.8986 -5.4054 6.7686
6.1533 -4.7379 4.1527
0.4409 -3.4358 1.7350
-4.4872 -11.3210 10.4453
1.4107 -11.9647 12.9272
-3.1438 -8.0614 9.9684
-1.9993 -4.7617 4.2867
0.0000 0.0000 0.0000
-10.2311 -6.1099 5.4814
9.6425 -10.6165 11.7324
7.3424 -6.6186 6.7103
1.6190 -14.0791 18.3187
-2.2075 -2.6472 -1.1049
-7.9309 -10.1077 10.5035
```

Final energy ... -60.8 eV per formula unit
Energy relative to the elements ... 0.0717 eV per atom
Density ... 7.19 g/cm³
Calculated volume ... 897.9 Å³ per cell



La3Sm2Dy4: optimized geometry, GGA-PBE.

```
La3Sm2Dy4
1.0
-0.3495 -0.7730 5.7469
3.1399 -4.6590 -3.3717
2.8574 12.8393 1.9007
Dy La Sm
4 3 2
Cartesian
3.7534 4.0985 3.7156
4.4233 9.4790 1.5440
1.2245 -2.0717 2.7319
1.8943 3.3089 0.5603
0.0000 0.0000 0.0000
2.2039 7.8101 4.1205
3.4438 -0.4027 0.1553
3.5477 6.3209 1.0659
2.1000 1.0865 3.2099
```

Final energy ... -41.8 eV per formula unit
Energy relative to the elements ... 0.0936 eV per atom
Density ... 7.37 g/cm³
Calculated volume ... 308.2 Å³ per cell



La3Sm5Dy2: optimized geometry, GGA-PBE.

```
La3Sm5Dy2
1.0
-4.0457 -7.2369 -5.4095
6.7913 -5.4405 -4.5670
-1.0632 1.6166 11.0739
Sm Dy La
10 4 6
Cartesian
3.1561 -8.7548 -4.3976
-0.7148 -6.3333 4.4782
1.7745 -2.7761 0.3117
-1.4736 -2.3060 5.4951
-0.8391 -4.4373 2.0347
-0.0920 -8.2847 0.7858
2.3972 -4.7274 -3.3807
2.5215 -6.6234 -0.9372
4.5740 -3.4562 2.3491
-2.8915 -7.6045 -1.2516
-3.8322 -4.4924 3.9583
-0.5866 -4.9241 -1.2746
2.2690 -6.1366 2.3721
5.5146 -6.5683 -2.8608
-0.0248 -7.4060 -3.3325
4.9463 -3.9863 -0.9319
-3.0206 -5.6367 -3.7877
1.7072 -3.6547 4.4299
4.7030 -5.4240 4.8852
-3.2638 -7.0744 2.0294
```

Final energy ... -45.8 eV per formula unit
Energy relative to the elements ... 0.1784 eV per atom
Density ... 7.14 g/cm³
Calculated volume ... 694.9 Å³ per cell



La5Sm3Dy: optimized geometry, GGA-PBE.

```
La5Sm3Dy
1.0
-2.0591 -6.1831 -6.2969
8.4146 -3.3246 0.5130
-5.4728 -0.1901 8.4971
La Sm Dy
10 6 2
Cartesian
0.1835 -7.2584 -3.2651
0.0000 0.0000 0.0000
0.5019 -3.8859 -0.1600
0.3808 -5.8120 2.8732
4.8832 -5.0256 0.6287
-4.0005 -4.6723 2.0845
3.1778 -4.7539 -2.8920
4.5649 -8.3981 -2.4764
0.6991 -2.4395 5.9783
-3.6822 -1.2997 5.1896
-0.2981 -4.1858 -3.8141
-1.1475 -2.4720 2.8026
2.0302 -7.2259 -0.0894
3.0019 -1.9913 -0.5273
3.3537 -7.5164 -5.2567
6.6536 -5.3219 -1.9698
3.0598 -4.1343 3.0591
-2.1771 -5.5636 -0.3459
```

Final energy ... -40.9 eV per formula unit
Energy relative to the elements ... 0.2743 eV per atom
Density ... 6.77 g/cm³
Calculated volume ... 642.1 Å³ per cell



La10Sm4Dy: optimized geometry, GGA-PBE.

```
La10Sm4Dy
1.0
7.2263 0.0000 3.2630
3.6131 8.8540 1.6315
-0.0306 0.0000 9.7010
La Sm Dy
10 4 1
Cartesian
3.5978 4.4270 6.4820
2.1328 2.6442 9.7042
10.0987 7.9667 11.3736
4.3398 0.8874 4.8609
5.7626 2.6442 11.3432
6.4690 7.9667 9.7346
0.7101 0.8874 3.2219
8.6760 6.2098 4.8912
5.0462 6.2098 3.2522
7.2110 4.4270 8.1135
5.0406 1.7680 8.1034
2.8855 3.5430 3.2429
7.9233 5.3110 11.3526
5.7682 7.0860 6.4921
0.0000 0.0000 0.0000
```

Final energy ... -63.2 eV per formula unit
Energy relative to the elements ... 0.6389 eV per atom
Density ... 5.75 g/cm³
Calculated volume ... 621.6 Å³ per cell